(1)
An optimized crystal structure of Ba2YMg3F12, computed with PBE.

Summary:
Volume ... 14.8 A^3/atom
E_tot ... -5.617 eV per atom

The structure in CIF format:
```
data_Ba2YMg3F12
_cell_length_a 7.3701
_cell_length_b 7.3701
_cell_length_c 17.0386
_cell_angle_alpha 90.00
_cell_angle_beta 90.00
_cell_angle_gamma 120.00
_space_group_name_H-M_alt 'R -3 m'
_space_group_IT_number 166
_space_group_name_Hall '-R 3 2"'
loop_
_atom_site_label
_atom_site_fract_x
_atom_site_fract_y
_atom_site_fract_z
Ba1 0.0000 0.0000 0.1114
Y1 0.0000 0.0000 0.5000
Mg1 0.0000 0.5000 0.0000
F1 0.0196 0.5098 0.8786
F2 0.0577 0.5288 0.3236
```



(2)
An optimized crystal structure of Pm3Cu3Ni, computed with PBE.

Summary:
Volume ... 21.5 A^3/atom
E_form ... -0.238 eV/atom
E_tot ... -4.856 eV per atom

The structure in CIF format:
```
data_Pm3Cu3Ni
_cell_length_a 3.822
_cell_length_b 4.318
_cell_length_c 18.271
_cell_angle_alpha 90.00
_cell_angle_beta 90.00
_cell_angle_gamma 90.00
_space_group_name_H-M_alt 'I m m 2'
_space_group_IT_number 44
loop_
_space_group_symop_operation_xyz
'x,y,z'
'-x,-y,z'
'-x,y,z'
'x,-y,z'
'x+1/2,y+1/2,z+1/2'
'-x+1/2,-y+1/2,z+1/2'
'-x+1/2,y+1/2,z+1/2'
'x+1/2,-y+1/2,z+1/2'
loop_
_atom_site_label
_atom_site_fract_x
_atom_site_fract_y
_atom_site_fract_z
Pm1 0.000 0.000 0.000
Pm2 0.000 0.000 0.362
Pm3 0.000 0.500 0.188
Cu1 0.000 0.000 0.547
Cu2 0.000 0.000 0.821
Cu3 0.000 0.500 0.620
Ni1 0.000 0.500 0.751
```



(3)
An optimized crystal structure of AcNdAu2, computed with PBE.

Summary:
Excess energy over the best structure of this formula in the dataset ... 0.0 meV/atom
Volume ... 28.7 A^3/atom
E_form ... -0.795 eV/atom
E_tot ... -4.653 eV per atom

The structure in CIF format:
```
data_AcNdAu2
_cell_length_a 4.879
_cell_length_b 4.068
_cell_length_c 11.577
_cell_angle_alpha 90.00
_cell_angle_beta 90.00
_cell_angle_gamma 90.00
_space_group_name_H-M_alt 'A m m 2'
_space_group_IT_number 38
loop_
_space_group_symop_operation_xyz
'x,y,z'
'-x,-y,z'
'-x,y,z'
'x,-y,z'
'x,y+1/2,z+1/2'
'-x,-y+1/2,z+1/2'
'-x,y+1/2,z+1/2'
'x,-y+1/2,z+1/2'
loop_
_atom_site_label
_atom_site_fract_x
_atom_site_fract_y
_atom_site_fract_z
Ac1 0.000 0.000 0.000
Nd1 0.500 0.000 0.727
Au1 0.000 0.000 0.276
Au2 0.500 0.000 0.449
```



(4)
An optimized crystal structure of PrSeBr, computed with PBE.

Summary:
Volume ... 38.2 A^3/atom
E_tot ... -5.125 eV per atom

The structure in CIF format:
```
data_PrSeBr
_cell_length_a 4.3935
_cell_length_b 4.3935
_cell_length_c 6.8479
_cell_angle_alpha 90.00
_cell_angle_beta 90.00
_cell_angle_gamma 120.00
_space_group_name_H-M_alt 'P 3 m 1'
_space_group_IT_number 156
loop_
_space_group_symop_operation_xyz
'x,y,z'
'-y,x-y,z'
'-x+y,-x,z'
'-y,-x,z'
'-x+y,y,z'
'x,x-y,z'
loop_
_atom_site_label
_atom_site_fract_x
_atom_site_fract_y
_atom_site_fract_z
Pr1 0.0000 0.0000 0.0000
Se1 0.6667 0.3333 0.2008
Br1 0.3333 0.6667 0.7366
```



(5)
An optimized crystal structure of OsRuAu3, computed with PBE.

Summary:
Excess energy over the best structure of this formula in the dataset ... 0.0 meV/atom
Volume ... 24.8 A^3/atom
E_form ... 1.858 eV/atom
E_tot ... -4.209 eV per atom

The structure in CIF format:
```
data_OsRuAu3
_cell_length_a 4.987
_cell_length_b 4.987
_cell_length_c 4.987
_cell_angle_alpha 90.00
_cell_angle_beta 90.00
_cell_angle_gamma 90.00
_space_group_name_H-M_alt 'P m -3 m'
_space_group_IT_number 221
_space_group_name_Hall '-P 4 2 3'
loop_
_atom_site_label
_atom_site_fract_x
_atom_site_fract_y
_atom_site_fract_z
Os1 0.000 0.000 0.000
Ru1 0.500 0.500 0.500
Au1 0.000 0.000 0.500
```



(6)
An optimized crystal structure of Y2ThCu6, computed with PBE.

Summary:
Volume ... 18.9 A^3/atom
E_form ... -0.233 eV/atom
E_tot ... -5.224 eV per atom

The structure in CIF format:
```
data_Y2ThCu6
_cell_length_a 7.3939
_cell_length_b 7.3939
_cell_length_c 3.5989
_cell_angle_alpha 90.00
_cell_angle_beta 90.00
_cell_angle_gamma 120.00
_space_group_name_H-M_alt 'P 6/m m m'
_space_group_IT_number 191
_space_group_name_Hall '-P 6 2'
loop_
_atom_site_label
_atom_site_fract_x
_atom_site_fract_y
_atom_site_fract_z
Y1 0.3333 0.6667 0.0000
Th1 0.0000 0.0000 0.0000
Cu1 0.0000 0.3352 0.5000
```



(7)
An optimized crystal structure of Li2MgTl2F6, computed with PBE.

Summary:
Volume ... 15.3 A^3/atom
E_tot ... -4.575 eV per atom

The structure in CIF format:
```
data_Li2MgTl2F6
_cell_length_a 5.9433
_cell_length_b 5.9433
_cell_length_c 16.4755
_cell_angle_alpha 90.00
_cell_angle_beta 90.00
_cell_angle_gamma 120.00
_space_group_name_H-M_alt 'R -3 m'
_space_group_IT_number 166
_space_group_name_Hall '-R 3 2"'
loop_
_atom_site_label
_atom_site_fract_x
_atom_site_fract_y
_atom_site_fract_z
Li1 0.0000 0.0000 0.0944
Mg1 0.0000 0.0000 0.5000
Tl1 0.0000 0.0000 0.2871
F1 0.0189 0.5095 0.2414
```



(8)
An optimized crystal structure of KZrW2, computed with PBE.

Summary:
Excess energy over the best structure of this formula in the dataset ... 338.8 meV/atom
Volume ... 20.8 A^3/atom
E_form ... 1.022 eV/atom
E_tot ... -7.866 eV per atom

The structure in CIF format:
```
data_KZrW2
_cell_length_a 2.8888
_cell_length_b 2.8888
_cell_length_c 34.5029
_cell_angle_alpha 90.00
_cell_angle_beta 90.00
_cell_angle_gamma 120.00
_space_group_name_H-M_alt 'R -3 m'
_space_group_IT_number 166
_space_group_name_Hall '-R 3 2"'
loop_
_atom_site_label
_atom_site_fract_x
_atom_site_fract_y
_atom_site_fract_z
K1 0.0000 0.0000 0.0000
Zr1 0.0000 0.0000 0.5000
W1 0.0000 0.0000 0.2426
```



(9)
An optimized crystal structure of Tm4SbC2, computed with PBE.

Summary:
Volume ... 20.5 A^3/atom
E_tot ... -6.346 eV per atom

The structure in CIF format:
```
data_Tm4SbC2
_cell_length_a 3.739
_cell_length_b 12.159
_cell_length_c 12.643
_cell_angle_alpha 90.00
_cell_angle_beta 90.00
_cell_angle_gamma 90.00
_space_group_name_H-M_alt 'C m c m'
_space_group_IT_number 63
_space_group_name_Hall '-C 2c 2'
loop_
_atom_site_label
_atom_site_fract_x
_atom_site_fract_y
_atom_site_fract_z
Tm1 0.000 0.000 0.000
Tm2 0.000 0.260 0.102
Tm3 0.000 0.417 0.750
Sb1 0.000 0.110 0.750
C1 0.000 0.364 0.559
```



(10)
An optimized crystal structure of Cs2Nd2BiS6, computed with PBE.

Summary:
Volume ... 33.9 A^3/atom
E_tot ... -4.963 eV per atom

The structure in CIF format:
```
data_Cs2Nd2BiS6
_cell_length_a 7.202
_cell_length_b 12.427
_cell_length_c 8.668
_cell_angle_alpha 90.00
_cell_angle_beta 106.20
_cell_angle_gamma 90.00
_space_group_name_H-M_alt 'C 1 2/m 1'
_space_group_IT_number 12
loop_
_space_group_symop_operation_xyz
'x,y,z'
'-x,-y,-z'
'-x,y,-z'
'x,-y,z'
'x+1/2,y+1/2,z'
'-x+1/2,-y+1/2,-z'
'-x+1/2,y+1/2,-z'
'x+1/2,-y+1/2,z'
loop_
_atom_site_label
_atom_site_fract_x
_atom_site_fract_y
_atom_site_fract_z
Cs1 0.000 0.168 0.000
Nd1 0.000 0.333 0.500
Bi1 0.000 0.000 0.500
S1 0.224 0.163 0.683
S2 0.239 0.500 0.682
```



(11)
An optimized crystal structure of ThSnPtRh, computed with PBE.

Summary:
Volume ... 21.0 A^3/atom
E_form ... -0.760 eV/atom
E_tot ... -6.964 eV per atom

The structure in CIF format:
```
data_ThSnPtRh
_cell_length_a 6.953
_cell_length_b 6.953
_cell_length_c 6.953
_cell_angle_alpha 90.00
_cell_angle_beta 90.00
_cell_angle_gamma 90.00
_space_group_name_H-M_alt 'F -4 3 m'
_space_group_IT_number 216
_space_group_name_Hall 'F -4 2 3'
loop_
_atom_site_label
_atom_site_fract_x
_atom_site_fract_y
_atom_site_fract_z
Th1 0.000 0.000 0.000
Sn1 0.000 0.000 0.500
Pt1 0.250 0.250 0.750
Rh1 0.250 0.250 0.250
```



(12)
An optimized crystal structure of CoSi2Se, computed with PBE.

Summary:
Volume ... 14.9 A^3/atom
E_tot ... -4.819 eV per atom

The structure in CIF format:
```
data_CoSi2Se
_cell_length_a 4.427
_cell_length_b 4.427
_cell_length_c 3.046
_cell_angle_alpha 90.00
_cell_angle_beta 90.00
_cell_angle_gamma 90.00
_space_group_name_H-M_alt 'P 4/m m m'
_space_group_IT_number 123
_space_group_name_Hall '-P 4 2'
loop_
_atom_site_label
_atom_site_fract_x
_atom_site_fract_y
_atom_site_fract_z
Co1 0.000 0.000 0.000
Si1 0.000 0.500 0.500
Se1 0.500 0.500 0.000
```



The evaluated total moment for the records listed, in turn: 0.06, 0.00, 0.00, 0.00, 0.92, 0.00, 0.00, 0.00, 0.11, 0.00, 0.00, 0.21 μB per atom.